No. 1
Hg2SbW after structural relaxation. Source: the Alexandria database, functional PBE. Values from VASP.

raw total energy = -14.21 eV/cell
symmetry = Pmmm, No. 47
calculated density = 13.77 g/cm3

Geometry as Quantum ESPRESSO input:
```
&SYSTEM
  ibrav = 0, nat = 4, ntyp = 3
/
ATOMIC_SPECIES
Hg 200.59 Hg.upf
Sb 121.76 Sb.upf
W 183.84 W.upf
ATOMIC_POSITIONS angstrom
Hg 0.000 0.000 5.610
Hg 0.000 0.000 2.884
Sb 1.496 2.515 1.416
W 1.496 2.515 4.247
CELL_PARAMETERS angstrom
2.991 0.000 0.000
0.000 5.030 0.000
0.000 0.000 5.663
```

No. 2
HgSbW2 after structural relaxation. Source: the Alexandria database, functional PBE. Values from VASP.

raw total energy = -27.04 eV/cell
symmetry = R-3m, No. 166
calculated density = 15.39 g/cm3

Geometry as Quantum ESPRESSO input:
```
&SYSTEM
  ibrav = 0, nat = 4, ntyp = 3
/
ATOMIC_SPECIES
Hg 200.59 Hg.upf
Sb 121.76 Sb.upf
W 183.84 W.upf
ATOMIC_POSITIONS angstrom
Hg 6.687 1.120 0.659
Sb 20.062 3.361 1.977
W 0.090 0.015 0.009
W 13.284 2.226 1.309
CELL_PARAMETERS angstrom
9.255 -0.009 -0.005
8.747 3.025 -0.005
8.747 1.465 2.647
```

What did we get for total magnetic moment? Answer: 0.0, 0.0 μB per cell, in the order shown.